VASP calculation (PBE with a Hubbard U) on a relaxed Tl3V2CuO8 crystal.

```
14
Lattice="5.799 0.000 0.000 -2.899 5.022 0.000 0.000 0.000 7.577" Properties=species:S:1:pos:R:3 pbc="T T T"
Tl 0.000 0.000 0.000
Tl 0.000 3.348 5.399
Tl 2.899 1.674 2.178
V 0.000 3.348 2.042
V 2.899 1.674 5.535
Cu 0.000 0.000 3.789
O 0.000 1.658 2.557
O -1.463 4.193 2.557
O 1.436 0.829 5.020
O 0.000 3.348 0.339
O 2.899 1.674 7.238
O 1.463 4.193 2.557
O 4.363 0.829 5.020
O 2.899 3.364 5.020
```

The crystal system is trigonal. The total magnetization comes out at 1.723 Bohr magnetons per cell. As for the space group: P-3m1. Its total energy is -5.906 eV per atom.


VASP calculation (PBE with a Hubbard U) on a relaxed TlV4Cu3O12 crystal.

```
20
Lattice="-3.719 3.719 3.719 3.719 -3.719 3.719 3.719 3.719 -3.719" Properties=species:S:1:pos:R:3 pbc="T T T"
Tl 0.000 0.000 0.000
V 1.860 1.860 -1.860
V 1.860 -1.860 1.860
V -1.860 1.860 1.860
V 1.860 1.860 1.860
Cu 3.719 0.000 0.000
Cu 0.000 3.719 0.000
Cu 0.000 0.000 3.719
O 3.719 2.370 -1.460
O 2.260 0.000 1.349
O 5.179 0.000 1.349
O 1.349 2.260 0.000
O 2.370 -1.460 3.719
O 0.000 1.349 2.260
O 3.719 2.370 1.460
O 1.349 5.179 0.000
O 2.370 1.460 3.719
O -1.460 3.719 2.370
O 1.460 3.719 2.370
O 0.000 1.349 5.179
```

The crystal system is cubic. The total magnetization comes out at 1.941 Bohr magnetons per cell. As for the space group: Im-3. Its total energy is -6.534 eV per atom.


VASP calculation (PBE with a Hubbard U) on a relaxed Tl3Cu2WO6 crystal.

```
12
Lattice="5.985 0.000 0.000 -2.992 5.183 0.000 0.000 0.000 7.107" Properties=species:S:1:pos:R:3 pbc="T T T"
Tl 0.000 0.000 0.000
Tl 0.000 3.455 5.229
Tl 2.993 1.728 1.877
Cu 0.000 3.455 2.417
Cu 2.993 1.728 4.690
W 0.000 0.000 3.553
O 0.000 1.570 2.377
O -1.633 4.398 2.377
O 1.359 0.785 4.730
O 1.633 4.398 2.377
O 4.626 0.785 4.730
O 2.992 3.614 4.730
```

The crystal system is trigonal. The total magnetization comes out at 1.077 Bohr magnetons per cell. As for the space group: P-3m1. Its total energy is -5.360 eV per atom.


VASP calculation (PBE with a Hubbard U) on a relaxed Tl2CuWO crystal.

```
5
Lattice="5.551 0.000 0.000 0.000 5.551 0.000 0.000 0.000 3.925" Properties=species:S:1:pos:R:3 pbc="T T T"
Tl 0.000 2.776 0.000
Tl 2.776 0.000 0.000
Cu 0.000 0.000 1.962
W 2.776 2.776 1.962
O 2.776 2.776 0.000
```

The crystal system is tetragonal. The total magnetization comes out at 3.315 Bohr magnetons per cell. As for the space group: P4/mmm. Its total energy is -3.951 eV per atom.